Entry 1:
# NaCdSbBr2 GGA-PBE relaxed
data_NaCdSbBr2
_chemical_formula_sum 'Na1 Cd1 Sb1 Br2'
_symmetry_space_group_name_H-M 'P 4/m m m'
_symmetry_Int_Tables_number 123
_symmetry_space_group_name_Hall '-P 4 2'
_cell_length_a 5.285
_cell_length_b 5.285
_cell_length_c 6.144
_cell_angle_alpha 90.00
_cell_angle_beta 90.00
_cell_angle_gamma 90.00
loop_
_atom_site_label
_atom_site_fract_x
_atom_site_fract_y
_atom_site_fract_z
Na1 0.000 0.000 0.000
Cd1 0.500 0.500 0.500
Sb1 0.000 0.000 0.500
Br1 0.000 0.500 0.000
# E_form (uncorrected)	-0.012	eV/atom

***

Entry 2:
# Tb5Cd2RuRh2 GGA-PBE relaxed
data_Tb5Cd2RuRh2
_chemical_formula_sum 'Tb10 Cd4 Ru2 Rh4'
_symmetry_space_group_name_H-M 'P 4/m b m'
_symmetry_Int_Tables_number 127
_symmetry_space_group_name_Hall '-P 4 2ab'
_cell_length_a 11.605
_cell_length_b 11.605
_cell_length_c 3.557
_cell_angle_alpha 90.00
_cell_angle_beta 90.00
_cell_angle_gamma 90.00
loop_
_atom_site_label
_atom_site_fract_x
_atom_site_fract_y
_atom_site_fract_z
Tb1 0.000 0.500 0.000
Tb2 0.068 0.194 0.000
Cd1 0.179 0.679 0.500
Ru1 0.000 0.000 0.500
Rh1 0.132 0.368 0.500
# energy of formation from the pure elements	-476	meV/atom

***

Entry 3:
# Li3Pr2Rh2 GGA-PBE relaxed
data_Li3Pr2Rh2
_chemical_formula_sum 'Li6 Pr4 Rh4'
_symmetry_space_group_name_H-M 'C 1 2/m 1'
_symmetry_Int_Tables_number 12
_symmetry_space_group_name_Hall '-C 2y'
_cell_length_a 10.171
_cell_length_b 4.224
_cell_length_c 7.420
_cell_angle_alpha 90.00
_cell_angle_beta 113.92
_cell_angle_gamma 90.00
loop_
_atom_site_label
_atom_site_fract_x
_atom_site_fract_y
_atom_site_fract_z
Li1 0.000 0.000 0.000
Li2 0.154 0.000 0.432
Pr1 0.136 0.500 0.787
Rh1 0.154 0.500 0.183
# energy of formation from the pure elements	-332	meV/atom

***

Entry 4:
# Sc2Be5CoNi2 GGA-PBE relaxed
data_Sc2Be5CoNi2
_chemical_formula_sum 'Sc4 Be10 Co2 Ni4'
_symmetry_space_group_name_H-M 'P 4/m b m'
_symmetry_Int_Tables_number 127
_symmetry_space_group_name_Hall '-P 4 2ab'
_cell_length_a 8.451
_cell_length_b 8.451
_cell_length_c 3.297
_cell_angle_alpha 90.00
_cell_angle_beta 90.00
_cell_angle_gamma 90.00
loop_
_atom_site_label
_atom_site_fract_x
_atom_site_fract_y
_atom_site_fract_z
Sc1 0.183 0.317 0.000
Be1 0.000 0.500 0.500
Be2 0.050 0.812 0.500
Co1 0.000 0.000 0.000
Ni1 0.115 0.615 0.000
# energy of formation from the pure elements	-195	meV/atom

***

Entry 5:
# Nd12Hg3O4 GGA-PBE relaxed
data_Nd12Hg3O4
_chemical_formula_sum 'Nd24 Hg6 O8'
_symmetry_space_group_name_H-M 'I m -3 m'
_symmetry_Int_Tables_number 229
_symmetry_space_group_name_Hall '-I 4 2 3'
_cell_length_a 9.930
_cell_length_b 9.930
_cell_length_c 9.930
_cell_angle_alpha 90.00
_cell_angle_beta 90.00
_cell_angle_gamma 90.00
loop_
_atom_site_label
_atom_site_fract_x
_atom_site_fract_y
_atom_site_fract_z
Nd1 0.000 0.251 0.251
Hg1 0.000 0.000 0.500
O1 0.250 0.250 0.250
# E_form (uncorrected)	-1.243	eV/atom

***

Entry 6:
# CrCo2Au GGA-PBE relaxed
data_CrCo2Au
_chemical_formula_sum 'Cr2 Co4 Au2'
_symmetry_space_group_name_H-M 'C 1 2/m 1'
_symmetry_Int_Tables_number 12
_symmetry_space_group_name_Hall '-C 2y'
_cell_length_a 8.439
_cell_length_b 2.654
_cell_length_c 4.703
_cell_angle_alpha 90.00
_cell_angle_beta 100.44
_cell_angle_gamma 90.00
loop_
_atom_site_label
_atom_site_fract_x
_atom_site_fract_y
_atom_site_fract_z
Cr1 0.000 0.000 0.000
Co1 0.241 0.500 0.210
Au1 0.000 0.500 0.500
# ΔE to the lowest computed polymorph	23	kJ/mol of formula units
# energy of formation from the pure elements	286	meV/atom

***

Entry 7:
# Ba2HfAu2O6 GGA-PBE relaxed
data_Ba2HfAu2O6
_chemical_formula_sum 'Ba6 Hf3 Au6 O18'
_symmetry_space_group_name_H-M 'R -3 m'
_symmetry_Int_Tables_number 166
_symmetry_space_group_name_Hall '-R 3 2"'
_cell_length_a 6.3453
_cell_length_b 6.3453
_cell_length_c 16.8616
_cell_angle_alpha 90.00
_cell_angle_beta 90.00
_cell_angle_gamma 120.00
loop_
_atom_site_label
_atom_site_fract_x
_atom_site_fract_y
_atom_site_fract_z
Ba1 0.0000 0.0000 0.2153
Hf1 0.0000 0.0000 0.0000
Au1 0.0000 0.0000 0.4122
O1 0.0486 0.5243 0.7487
# E_form (uncorrected)	-1.754	eV/atom

***

Entry 8:
# Tb2Si2Ni2H GGA-PBE relaxed
data_Tb2Si2Ni2H
_chemical_formula_sum 'Tb4 Si4 Ni4 H2'
_symmetry_space_group_name_H-M 'C 1 2/m 1'
_symmetry_Int_Tables_number 12
_symmetry_space_group_name_Hall '-C 2y'
_cell_length_a 10.387
_cell_length_b 3.969
_cell_length_c 6.843
_cell_angle_alpha 90.00
_cell_angle_beta 130.81
_cell_angle_gamma 90.00
loop_
_atom_site_label
_atom_site_fract_x
_atom_site_fract_y
_atom_site_fract_z
Tb1 0.056 0.000 0.292
Si1 0.156 0.500 0.698
Ni1 0.204 0.500 0.092
H1 0.000 0.500 0.000
# E_tot	-0.211	hartree per atom

***

Entry 9:
# CaPrNdSn GGA-PBE relaxed
data_CaPrNdSn
_chemical_formula_sum 'Ca4 Pr4 Nd4 Sn4'
_symmetry_space_group_name_H-M 'F -4 3 m'
_symmetry_Int_Tables_number 216
_symmetry_space_group_name_Hall 'F -4 2 3'
_cell_length_a 7.910
_cell_length_b 7.910
_cell_length_c 7.910
_cell_angle_alpha 90.00
_cell_angle_beta 90.00
_cell_angle_gamma 90.00
loop_
_atom_site_label
_atom_site_fract_x
_atom_site_fract_y
_atom_site_fract_z
Ca1 0.000 0.000 0.000
Pr1 0.250 0.250 0.250
Nd1 0.250 0.250 0.750
Sn1 0.000 0.000 0.500
# ΔE to the lowest computed polymorph	0	kJ/mol of formula units
# energy of formation from the pure elements	-300	meV/atom

***

Entry 10:
# ZrV3Cd GGA-PBE relaxed
data_ZrV3Cd
_chemical_formula_sum 'Zr1 V3 Cd1'
_symmetry_space_group_name_H-M 'P m -3 m'
_symmetry_Int_Tables_number 221
_symmetry_space_group_name_Hall '-P 4 2 3'
_cell_length_a 4.869
_cell_length_b 4.869
_cell_length_c 4.869
_cell_angle_alpha 90.00
_cell_angle_beta 90.00
_cell_angle_gamma 90.00
loop_
_atom_site_label
_atom_site_fract_x
_atom_site_fract_y
_atom_site_fract_z
Zr1 0.000 0.000 0.000
V1 0.000 0.500 0.500
Cd1 0.500 0.500 0.500
# ΔE to the lowest computed polymorph	57	kJ/mol of formula units
# energy of formation from the pure elements	1649	meV/atom

***

Entry 11:
# ErMnBe17 GGA-PBE relaxed
data_ErMnBe17
_chemical_formula_sum 'Er3 Mn3 Be51'
_symmetry_space_group_name_H-M 'R 3 m'
_symmetry_Int_Tables_number 160
_symmetry_space_group_name_Hall 'R 3 -2"'
_cell_length_a 7.4856
_cell_length_b 7.4856
_cell_length_c 10.8761
_cell_angle_alpha 90.00
_cell_angle_beta 90.00
_cell_angle_gamma 120.00
loop_
_atom_site_label
_atom_site_fract_x
_atom_site_fract_y
_atom_site_fract_z
Er1 0.0000 0.0000 0.0000
Mn1 0.0000 0.0000 0.3298
Be1 0.0000 0.0000 0.5566
Be2 0.0000 0.0000 0.7522
Be3 0.0444 0.3714 0.3254
Be4 0.1690 0.3379 0.4931
Be5 0.1703 0.3405 0.8367
Be6 0.1723 0.3447 0.1458
# energy of formation from the pure elements	-78	meV/atom

***

Entry 12:
# La2PaTl3S6 GGA-PBE relaxed
data_La2PaTl3S6
_chemical_formula_sum 'La4 Pa2 Tl6 S12'
_symmetry_space_group_name_H-M 'C 1 2/m 1'
_symmetry_Int_Tables_number 12
_symmetry_space_group_name_Hall '-C 2y'
_cell_length_a 7.292
_cell_length_b 12.621
_cell_length_c 7.918
_cell_angle_alpha 90.00
_cell_angle_beta 107.93
_cell_angle_gamma 90.00
loop_
_atom_site_label
_atom_site_fract_x
_atom_site_fract_y
_atom_site_fract_z
La1 0.000 0.166 0.000
Pa1 0.000 0.500 0.000
Tl1 0.000 0.000 0.500
Tl2 0.000 0.331 0.500
S1 0.224 0.342 0.198
S2 0.247 0.500 0.798
# E_form (uncorrected)	-1.368	eV/atom

***

Entry 13:
# PmNdSmTl GGA-PBE relaxed
data_PmNdSmTl
_chemical_formula_sum 'Pm4 Nd4 Sm4 Tl4'
_symmetry_space_group_name_H-M 'F -4 3 m'
_symmetry_Int_Tables_number 216
_symmetry_space_group_name_Hall 'F -4 2 3'
_cell_length_a 7.919
_cell_length_b 7.919
_cell_length_c 7.919
_cell_angle_alpha 90.00
_cell_angle_beta 90.00
_cell_angle_gamma 90.00
loop_
_atom_site_label
_atom_site_fract_x
_atom_site_fract_y
_atom_site_fract_z
Pm1 0.000 0.000 0.000
Nd1 0.250 0.250 0.250
Sm1 0.250 0.250 0.750
Tl1 0.000 0.000 0.500
# ΔE to the lowest computed polymorph	59	kJ/mol of formula units
# energy of formation from the pure elements	-48	meV/atom

***

Entry 14:
# PuHfSc3 GGA-PBE relaxed
data_PuHfSc3
_chemical_formula_sum 'Pu1 Hf1 Sc3'
_symmetry_space_group_name_H-M 'P 1'
_symmetry_Int_Tables_number 1
_symmetry_space_group_name_Hall 'P 1'
_cell_length_a 3.188
_cell_length_b 4.681
_cell_length_c 8.451
_cell_angle_alpha 106.05
_cell_angle_beta 100.78
_cell_angle_gamma 90.05
loop_
_atom_site_label
_atom_site_fract_x
_atom_site_fract_y
_atom_site_fract_z
Pu1 0.000 0.000 0.000
Hf1 0.196 0.194 0.391
Sc1 0.396 0.394 0.789
Sc2 0.602 0.601 0.204
Sc3 0.797 0.794 0.591
# ΔE to the lowest computed polymorph	0	kJ/mol of formula units
# energy of formation from the pure elements	87	meV/atom

***

Entry 15:
# KTl2N GGA-PBE relaxed
data_KTl2N
_chemical_formula_sum 'K4 Tl8 N4'
_symmetry_space_group_name_H-M 'F m -3 m'
_symmetry_Int_Tables_number 225
_symmetry_space_group_name_Hall '-F 4 2 3'
_cell_length_a 7.353
_cell_length_b 7.353
_cell_length_c 7.353
_cell_angle_alpha 90.00
_cell_angle_beta 90.00
_cell_angle_gamma 90.00
loop_
_atom_site_label
_atom_site_fract_x
_atom_site_fract_y
_atom_site_fract_z
K1 0.000 0.000 0.000
Tl1 0.250 0.250 0.250
N1 0.000 0.000 0.500
# E_form (uncorrected)	0.895	eV/atom
# ΔE to the lowest computed polymorph	172	kJ/mol of formula units

***

Entry 16:
# ScP2Se2 GGA-PBE relaxed
data_ScP2Se2
_chemical_formula_sum 'Sc2 P4 Se4'
_symmetry_space_group_name_H-M 'P 4/m b m'
_symmetry_Int_Tables_number 127
_symmetry_space_group_name_Hall '-P 4 2ab'
_cell_length_a 7.233
_cell_length_b 7.233
_cell_length_c 3.994
_cell_angle_alpha 90.00
_cell_angle_beta 90.00
_cell_angle_gamma 90.00
loop_
_atom_site_label
_atom_site_fract_x
_atom_site_fract_y
_atom_site_fract_z
Sc1 0.000 0.000 0.000
P1 0.172 0.328 0.000
Se1 0.195 0.695 0.500
# E_form (uncorrected)	-0.271	eV/atom
# ΔE to the lowest computed polymorph	0	kJ/mol of formula units

***

Entry 17:
# Tb3Pr2Ga2 GGA-PBE relaxed
data_Tb3Pr2Ga2
_chemical_formula_sum 'Tb6 Pr4 Ga4'
_symmetry_space_group_name_H-M 'C 1 2/m 1'
_symmetry_Int_Tables_number 12
_symmetry_space_group_name_Hall '-C 2y'
_cell_length_a 12.174
_cell_length_b 4.247
_cell_length_c 8.677
_cell_angle_alpha 90.00
_cell_angle_beta 113.42
_cell_angle_gamma 90.00
loop_
_atom_site_label
_atom_site_fract_x
_atom_site_fract_y
_atom_site_fract_z
Tb1 0.000 0.000 0.000
Tb2 0.124 0.000 0.441
Pr1 0.151 0.500 0.810
Ga1 0.167 0.500 0.216
# energy of formation from the pure elements	-305	meV/atom

***

Entry 18:
# Tm3Mg2Sc4 GGA-PBE relaxed
data_Tm3Mg2Sc4
_chemical_formula_sum 'Tm6 Mg4 Sc8'
_symmetry_space_group_name_H-M 'C 1 2/m 1'
_symmetry_Int_Tables_number 12
_symmetry_space_group_name_Hall '-C 2y'
_cell_length_a 14.052
_cell_length_b 4.619
_cell_length_c 7.612
_cell_angle_alpha 90.00
_cell_angle_beta 108.08
_cell_angle_gamma 90.00
loop_
_atom_site_label
_atom_site_fract_x
_atom_site_fract_y
_atom_site_fract_z
Tm1 0.000 0.000 0.000
Tm2 0.112 0.000 0.661
Mg1 0.170 0.500 0.001
Sc1 0.060 0.500 0.337
Sc2 0.221 0.000 0.338
# energy of formation from the pure elements	23	meV/atom

***

Entry 19:
# CuGe3As GGA-PBE relaxed
data_CuGe3As
_chemical_formula_sum 'Cu1 Ge3 As1'
_symmetry_space_group_name_H-M 'P m -3 m'
_symmetry_Int_Tables_number 221
_symmetry_space_group_name_Hall '-P 4 2 3'
_cell_length_a 4.698
_cell_length_b 4.698
_cell_length_c 4.698
_cell_angle_alpha 90.00
_cell_angle_beta 90.00
_cell_angle_gamma 90.00
loop_
_atom_site_label
_atom_site_fract_x
_atom_site_fract_y
_atom_site_fract_z
Cu1 0.000 0.000 0.000
Ge1 0.000 0.000 0.500
As1 0.500 0.500 0.500
# ΔE to the lowest computed polymorph	0	kJ/mol of formula units
# energy of formation from the pure elements	492	meV/atom

***

Entry 20:
# CsLa GGA-PBE relaxed
data_CsLa
_chemical_formula_sum 'Cs1 La1'
_symmetry_space_group_name_H-M 'P 1'
_symmetry_Int_Tables_number 1
_symmetry_space_group_name_Hall 'P 1'
_cell_length_a 3.843
_cell_length_b 3.872
_cell_length_c 7.901
_cell_angle_alpha 97.04
_cell_angle_beta 97.11
_cell_angle_gamma 119.05
loop_
_atom_site_label
_atom_site_fract_x
_atom_site_fract_y
_atom_site_fract_z
Cs1 0.000 0.000 0.000
La1 0.763 0.767 0.523
# energy of formation from the pure elements	547	meV/atom

***

Size of the total moment list, top to bottom, in μB per formula unit: 1.9 0.0 0.0 0.0 0.0 1.9 2.1 0.0 0.0 8.5 2.7 1.9 1.4 6.1 0.0 0.0 0.0 0.0 0.0 0.0